Material: NaCoOs2Br
Method: DFT, GGA-PBE
State: optimized geometry

a b c (Å): 4.802 4.802 4.534
angles (deg): 90.00 90.00 90.00
Space group P4/mmm (No. 123)
Symmetry-distinct sites (fractional):
1 Na 0.000 0.000 0.000 (multiplicity 1)
2 Co 0.000 0.000 0.500 (multiplicity 1)
3 Os 0.000 0.500 0.000 (multiplicity 2)
4 Br 0.500 0.500 0.500 (multiplicity 1)

Summary:
Total magnetization: 7.0 μB per formula unit
Formation energy (no corrections): 1408 kJ/mol of formula units
Calculated total energy: -18.0 eV for the cell shown